Record 1
VASP calculation (PBEsol) on a relaxed Co2PRu crystal.

Properties
Crystal system: trigonal
Raw total energy (eV per atom): -7.88
Formation enthalpy at 0 K (meV/atom): -17
Magnetic moment (μB per formula unit): 2.591
Density (kg/m3): 8980

a b c (Å): 2.6691 2.6691 22.4692
angles (deg): 90.00 90.00 120.00
Space group R3m (No. 160, hexagonal axes)
Inequivalent atoms, fractional coordinates:
Co: 0.0000 0.0000 0.0000
Co: 0.0000 0.0000 0.2474
P: 0.0000 0.0000 0.7404
Ru: 0.0000 0.0000 0.4882


Record 2
VASP calculation (PBEsol) on a relaxed Co2PRu crystal.

Properties
Crystal system: monoclinic
Raw total energy (eV per atom): -7.93
Formation enthalpy at 0 K (meV/atom): -71
Magnetic moment (μB per formula unit): 0.913
Density (kg/m3): 9400

a b c (Å): 4.0682 2.6718 4.1932
angles (deg): 90.00 104.39 90.00
Space group P2/m (No. 10)
Inequivalent atoms, fractional coordinates:
Co: 0.0000 0.0000 0.0000
Co: 0.5000 0.5000 0.0000
P: 0.0000 0.5000 0.5000
Ru: 0.5000 0.0000 0.5000


Record 3
VASP calculation (PBEsol) on a relaxed CoP2RuW crystal.

Properties
Crystal system: tetragonal
Raw total energy (eV per atom): -7.10
Formation enthalpy at 0 K (meV/atom): 1558
Magnetic moment (μB per formula unit): 2.232
Density (kg/m3): 7395

a b c (Å): 4.3340 4.3340 4.8513
angles (deg): 90.00 90.00 90.00
Space group P4/mmm (No. 123)
Inequivalent atoms, fractional coordinates:
Co: 0.0000 0.0000 0.0000
P: 0.0000 0.5000 0.5000
Ru: 0.5000 0.5000 0.5000
W: 0.5000 0.5000 0.0000


Record 4
VASP calculation (PBEsol) on a relaxed CoP2S2 crystal.

Properties
Crystal system: tetragonal
Raw total energy (eV per atom): -4.69
Raw formation energy (meV/atom): 930
Magnetic moment (μB per formula unit): 2.393
Density (kg/m3): 3685

a b c (Å): 4.3508 4.3508 4.4038
angles (deg): 90.00 90.00 90.00
Space group P4/mmm (No. 123)
Inequivalent atoms, fractional coordinates:
Co: 0.0000 0.0000 0.0000
P: 0.5000 0.5000 0.0000
P: 0.5000 0.5000 0.5000
S: 0.0000 0.5000 0.5000